Record 1
PBE Dy4TcSb, relaxed; symmetry = Pnma; E_form (uncorrected) = -463 meV per atom
1.0
-1.696 0.829 3.828
-7.311 -1.691 -2.872
2.239 -17.969 4.882
Tc Dy Sb
4 16 4
direct
0.250 0.745 0.560
0.250 0.245 0.940
0.750 0.755 0.060
0.750 0.255 0.440
0.250 0.000 0.065
0.750 0.943 0.211
0.250 0.623 0.142
0.750 0.443 0.289
0.750 0.853 0.451
0.750 0.500 0.565
0.750 0.877 0.642
0.250 0.557 0.711
0.250 0.647 0.951
0.750 0.353 0.049
0.250 0.123 0.358
0.250 0.147 0.549
0.750 0.000 0.935
0.250 0.500 0.435
0.750 0.377 0.858
0.250 0.057 0.789
0.250 0.246 0.193
0.250 0.746 0.307
0.750 0.754 0.807
0.750 0.254 0.693

***

Record 2
PBE NpTlSn2Br8, relaxed; symmetry = P-1; E_form (uncorrected) = -949 meV per atom
1.0
7.240 0.057 -0.167
0.095 6.929 -0.117
-0.196 -0.127 9.245
Br Sn Tl Np
8 2 1 1
direct
0.631 0.729 0.529
0.164 0.758 0.779
0.675 0.757 0.979
0.147 0.745 0.221
0.369 0.271 0.471
0.836 0.242 0.221
0.853 0.255 0.779
0.325 0.243 0.021
0.492 0.496 0.254
0.508 0.504 0.746
0.000 0.000 0.500
0.000 0.000 0.000

***

Record 3
PBE TiMn2In2, relaxed; relative energy among the computed polymorphs = 98 meV/atom; symmetry = I4/mmm; formation energy from the elements = 0.36 eV/atom
1.0
-2.219 -1.969 -1.078
1.846 -0.739 -2.451
3.371 -7.912 2.892
In Mn Ti
2 2 1
direct
0.616 0.616 0.767
0.384 0.384 0.233
0.750 0.250 0.500
0.250 0.750 0.500
0.000 0.000 0.000

***

Record 4
PBE Si2Ni2Ge, relaxed; relative energy among the computed polymorphs = 21 meV/atom; symmetry = I4/mmm; E_form (uncorrected) = -117 meV per atom
1.0
-0.176 -2.712 2.647
2.592 -2.019 -1.896
4.823 -0.115 2.921
Ni Si Ge
2 2 1
direct
0.250 0.750 0.500
0.750 0.250 0.500
0.382 0.382 0.236
0.618 0.618 0.764
0.000 0.000 0.000

***

Record 5
PBE Ac6Sb5Te, relaxed; symmetry = C2/m; E_form (uncorrected) = -1300 meV per atom
1.0
-3.307 -7.602 0.300
6.055 1.671 -5.419
4.424 -0.138 7.018
Ac Te Sb
6 1 5
direct
0.423 0.085 0.253
0.746 0.746 0.253
0.085 0.423 0.253
0.254 0.254 0.747
0.915 0.577 0.747
0.577 0.915 0.747
0.000 0.000 0.000
0.835 0.165 0.500
0.667 0.333 0.000
0.333 0.667 0.000
0.500 0.500 0.500
0.165 0.835 0.500

***

Record 6
PBE NaPr2Zr, relaxed; relative energy among the computed polymorphs = 14 meV/atom; symmetry = R-3m; formation energy from the elements = 0.15 eV/atom
1.0
-0.146 1.924 2.916
-1.344 -1.361 2.927
10.516 -3.819 5.142
Pr Na Zr
2 1 1
direct
0.260 0.260 0.221
0.740 0.740 0.779
0.500 0.500 0.500
0.000 0.000 0.000

***

| no. | volume (Å³/cell) | N(E_F) (states/eV/f.u.) |
| --- | --- | --- |
| 1 | 643 | 5.4 |
| 2 | 463 | 4.8 |
| 3 | 88 | 5.7 |
| 4 | 71 | 3.0 |
| 5 | 466 | 3.7 |
| 6 | 129 | 3.6 |